No. 1
Compound: OsRu2F4
Source: the Alexandria database
Functional: GGA-PBE
Structure: optimized geometry

Cell: 4.615 4.615 10.811 Å, 90.00 90.00 90.00°
Space group I4/mmm (No. 139)
Asymmetric unit:
Os1 0.000 0.000 0.000 (multiplicity 2)
Ru1 0.000 0.000 0.397 (multiplicity 4)
F1 0.000 0.000 0.187 (multiplicity 4)
F2 0.000 0.500 0.000 (multiplicity 4)

Calculated values
theoretical density: 6.75 g/cm³
total DFT energy (no corrections): -5.17 eV/atom
formation energy from raw total energies: 1.11 eV/f.u.

***

No. 2
Compound: Ca2Ga5Ni
Source: the Alexandria database
Functional: GGA-PBE
Structure: optimized geometry

Cell: 6.085 6.085 4.597 Å, 90.00 90.00 90.00°
Space group P4/mmm (No. 123)
Asymmetric unit:
Ca1 0.000 0.500 0.000 (multiplicity 2)
Ga1 0.000 0.000 0.000 (multiplicity 1)
Ga2 0.287 0.287 0.500 (multiplicity 4)
Ni1 0.000 0.000 0.500 (multiplicity 1)

Calculated values
theoretical density: 4.76 g/cm³
total DFT energy (no corrections): -3.42 eV/atom
ΔH_f (0 K): -0.3088 eV per atom

***

No. 3
Compound: LiTb5S8
Source: the Alexandria database
Functional: GGA-PBE
Structure: optimized geometry

Cell: 8.302 8.302 8.378 Å, 90.00 90.00 90.00°
Space group I-4 (No. 82)
Asymmetric unit:
Li1 0.000 0.000 0.000 (multiplicity 2)
Tb1 0.000 0.500 0.250 (multiplicity 2)
Tb2 0.130 0.253 0.629 (multiplicity 8)
S1 0.070 0.318 0.950 (multiplicity 8)
S2 0.073 0.183 0.314 (multiplicity 8)

Calculated values
theoretical density: 6.08 g/cm³
total DFT energy (no corrections): -6.14 eV/atom
formation energy from raw total energies: -27.87 eV/f.u.

***

No. 4
Compound: Ho6BiAs3S2
Source: the Alexandria database
Functional: GGA-PBE
Structure: optimized geometry

Cell: 17.831 4.102 8.220 Å, 90.00 103.22 90.00°
Space group C2/m (No. 12)
Asymmetric unit:
Ho1 0.003 0.000 0.269 (multiplicity 4)
Ho2 0.168 0.500 0.585 (multiplicity 4)
Ho3 0.175 0.500 0.087 (multiplicity 4)
Bi1 0.000 0.500 0.000 (multiplicity 2)
As1 0.000 0.500 0.500 (multiplicity 2)
As2 0.164 0.000 0.831 (multiplicity 4)
S1 0.170 0.000 0.338 (multiplicity 4)

Calculated values
theoretical density: 8.44 g/cm³
total DFT energy (no corrections): -6.00 eV/atom
formation energy from raw total energies: -18.48 eV/f.u.

***

No. 5
Compound: TaCuAs2
Source: the Alexandria database
Functional: GGA-PBE
Structure: optimized geometry

Cell: 2.846 2.846 9.572 Å, 90.00 90.00 90.00°
Space group P4mm (No. 99)
Asymmetric unit:
Ta1 0.000 0.000 0.000 (multiplicity 1)
Cu1 0.500 0.500 0.800 (multiplicity 1)
As1 0.000 0.000 0.621 (multiplicity 1)
As2 0.500 0.500 0.212 (multiplicity 1)

Calculated values
theoretical density: 8.45 g/cm³
total DFT energy (no corrections): -6.25 eV/atom
ΔH_f (0 K): 0.0574 eV per atom

***

No. 6
Compound: NbF5
Source: the Alexandria database
Functional: GGA-PBE
Structure: optimized geometry

Cell: 9.951 14.886 5.361 Å, 90.00 94.82 90.00°
Space group C2/m (No. 12)
Asymmetric unit:
Nb1 0.000 0.200 0.000 (multiplicity 4)
Nb2 0.242 0.500 0.248 (multiplicity 4)
F1 0.102 0.180 0.309 (multiplicity 8)
F2 0.118 0.283 0.876 (multiplicity 8)
F3 0.122 0.095 0.880 (multiplicity 8)
F4 0.134 0.406 0.347 (multiplicity 8)
F5 0.135 0.000 0.465 (multiplicity 4)
F6 0.171 0.500 0.908 (multiplicity 4)

Calculated values
theoretical density: 3.15 g/cm³
total DFT energy (no corrections): -6.25 eV/atom
formation energy from raw total energies: -18.06 eV/f.u.

***

No. 7
Compound: AcAsH2S4
Source: the Alexandria database
Functional: GGA-PBE
Structure: optimized geometry

Cell: 5.896 7.124 7.617 Å, 90.00 90.00 90.00°
Space group I222 (No. 23)
Asymmetric unit:
Ac1 0.000 0.000 0.000 (multiplicity 2)
As1 0.000 0.000 0.500 (multiplicity 2)
H1 0.000 0.500 0.182 (multiplicity 4)
S1 0.212 0.349 0.804 (multiplicity 8)

Calculated values
theoretical density: 4.49 g/cm³
total DFT energy (no corrections): -4.62 eV/atom

***

No. 8
Compound: Th2Pd5
Source: the Alexandria database
Functional: GGA-PBE
Structure: optimized geometry

Cell: 7.747 12.386 5.908 Å, 90.00 90.00 90.00°
Space group Ibam (No. 72)
Asymmetric unit:
Th1 0.205 0.113 0.000 (multiplicity 8)
Pd1 0.000 0.272 0.250 (multiplicity 8)
Pd2 0.000 0.500 0.250 (multiplicity 4)
Pd3 0.224 0.125 0.500 (multiplicity 8)

Calculated values
theoretical density: 11.67 g/cm³
total DFT energy (no corrections): -6.67 eV/atom
ΔH_f (0 K): -0.8427 eV per atom